Entry 1:
Computed, not measured: a relaxed structure of CdTcW2 at the PBE level of DFT.

Cell: 4.164 3.962 3.962 Å, 90.00 90.00 90.00°
Fractional coordinates of all 4 atoms:
Cd  0.500  0.500  0.000
Tc  0.500  0.000  0.500
W  0.000  0.000  0.000
W  0.000  0.500  0.500

* density of states at the Fermi level: 0.60 states/eV/atom
* ΔH_f (0 K): 528 meV per atom
* DFT total energy: -35.1 eV per cell


Entry 2:
Computed, not measured: a relaxed structure of CdTcW2 at the PBE level of DFT.

Cell: 5.043 5.043 2.801 Å, 90.00 90.00 112.81°
Fractional coordinates of all 4 atoms:
Cd  0.500  0.000  0.500
Tc  0.000  0.500  0.500
W  0.000  0.000  0.000
W  0.500  0.500  0.000

* density of states at the Fermi level: 0.83 states/eV/atom
* ΔH_f (0 K): 544 meV per atom
* DFT total energy: -35.0 eV per cell


Entry 3:
Computed, not measured: a relaxed structure of CdTcW2 at the PBE level of DFT.

Cell: 2.858 4.085 5.721 Å, 90.00 90.00 90.00°
Fractional coordinates of all 4 atoms:
Cd  0.500  0.500  0.250
Tc  0.500  0.500  0.750
W  0.000  0.000  0.971
W  0.000  0.000  0.529

* density of states at the Fermi level: 0.58 states/eV/atom
* ΔH_f (0 K): 443 meV per atom
* DFT total energy: -35.4 eV per cell


Entry 4:
Computed, not measured: a relaxed structure of CdTcW2 at the PBE level of DFT.

Cell: 4.359 2.767 5.806 Å, 71.37 90.00 90.00°
Fractional coordinates of all 4 atoms:
Cd  0.500  0.250  0.250
Tc  0.500  0.750  0.750
W  0.000  0.980  0.979
W  0.000  0.520  0.521

* density of states at the Fermi level: 0.98 states/eV/atom
* ΔH_f (0 K): 459 meV per atom
* DFT total energy: -35.4 eV per cell


Entry 5:
Computed, not measured: a relaxed structure of CdTcW2 at the PBE level of DFT.

Cell: 9.704 9.704 9.704 Å, 16.83 16.83 16.83°
Fractional coordinates of all 4 atoms:
Cd  0.250  0.250  0.250
Tc  0.750  0.750  0.750
W  0.007  0.007  0.007
W  0.493  0.493  0.493

* density of states at the Fermi level: 0.96 states/eV/atom
* ΔH_f (0 K): 404 meV per atom
* DFT total energy: -35.6 eV per cell


Entry 6:
Computed, not measured: a relaxed structure of Cd3TcW at the PBE level of DFT.

Cell: 5.224 5.224 5.224 Å, 90.00 90.00 90.00°
Site moments in Bohr magnetons follow the coordinates.
Fractional coordinates of all 5 atoms:
Tc  0.500  0.500  0.500  3.52
W  0.000  0.000  0.000  -0.78
Cd  0.000  0.500  0.000  -0.05
Cd  0.000  0.000  0.500  -0.05
Cd  0.500  0.000  0.000  -0.03

* density of states at the Fermi level: 0.67 states/eV/atom
* E above lowest polymorph: 0 meV/atom
* ΔH_f (0 K): 1947 meV per atom
* DFT total energy: -16.3 eV per cell